# TbPbAu

A relaxed structure of TbPbAu (PBE, the Alexandria database).

It has space group I4mm (No. 107), with a = 3.607 Å, b = 3.607 Å, c = 11.906 Å, α = 90.00°, β = 90.00° and γ = 90.00°. The asymmetric unit holds Tb at (0.000, 0.000, 0.000), Pb at (0.000, 0.000, 0.298) and Au at (0.000, 0.000, 0.629).

The calculated formation energy is -0.52 eV/atom. The calculated volume is 154.86 Å³/cell.